1.
The following is a PBE calculation of crystalline Li2AlRh at its relaxed geometry, from Alexandria via LeMat-Bulk.

Lattice parameters (Å, degrees): 2.7777 4.1813 4.9599 90.00 90.00 90.00
Space group Pmmm (No. 47)
Asymmetric unit:
Li  0.0000  0.0000  0.2311
Al  0.5000  0.5000  0.5000
Rh  0.5000  0.5000  0.0000

Summary:
Energy of formation   -245 meV/atom
M_tot   0.000 μB per atom
ρ   4.144 g/cm3



2.
The following is a PBE calculation of crystalline Li2AlRh at its relaxed geometry, from Alexandria via LeMat-Bulk.

Lattice parameters (Å, degrees): 3.0713 3.0713 6.2338 90.00 90.00 90.00
Space group P4mm (No. 99)
Asymmetric unit:
Li  0.0000  0.0000  0.0000
Li  0.5000  0.5000  0.2722
Al  0.5000  0.5000  0.7151
Rh  0.0000  0.0000  0.5157

Summary:
Energy of formation   -429 meV/atom
M_tot   0.000 μB per atom
ρ   4.060 g/cm3



3.
The following is a PBE calculation of crystalline LiAlRh at its relaxed geometry, from Alexandria via LeMat-Bulk.

Lattice parameters (Å, degrees): 5.8039 5.8039 5.8039 90.00 90.00 90.00
Space group F-43m (No. 216)
Asymmetric unit:
Li  0.0000  0.0000  0.0000
Al  0.0000  0.0000  0.5000
Rh  0.2500  0.2500  0.2500

Summary:
Energy of formation   -295 meV/atom
M_tot   0.000 μB per atom
ρ   4.649 g/cm3



4.
The following is a PBE calculation of crystalline LiAl2Rh4 at its relaxed geometry, from Alexandria via LeMat-Bulk.

Lattice parameters (Å, degrees): 4.1250 4.1250 5.8479 90.00 90.00 90.00
Space group P4/mmm (No. 123)
Asymmetric unit:
Li  0.0000  0.0000  0.0000
Al  0.0000  0.0000  0.5000
Al  0.5000  0.5000  0.0000
Rh  0.0000  0.5000  0.2584

Summary:
Energy of formation   -511 meV/atom
M_tot   0.000 μB per atom
ρ   7.885 g/cm3



5.
The following is a PBE calculation of crystalline LiAl2Rh2 at its relaxed geometry, from Alexandria via LeMat-Bulk.

Lattice parameters (Å, degrees): 7.0989 7.0989 2.9204 90.00 90.00 90.00
Space group P4/mbm (No. 127)
Asymmetric unit:
Li  0.0000  0.0000  0.0000
Al  0.1461  0.3539  0.5000
Rh  0.1503  0.6503  0.0000

Summary:
Energy of formation   -789 meV/atom
M_tot   0.000 μB per atom
ρ   6.019 g/cm3
Energy above the most stable polymorph in this dataset   0.037 eV per formula unit



6.
The following is a PBE calculation of crystalline Li2AlRh at its relaxed geometry, from Alexandria via LeMat-Bulk.

Lattice parameters (Å, degrees): 3.0077 4.1049 4.4864 90.00 90.00 90.00
Space group Pmmm (No. 47)
Asymmetric unit:
Li  0.0000  0.0000  0.0000
Li  0.5000  0.5000  0.0000
Al  0.0000  0.5000  0.5000
Rh  0.5000  0.0000  0.5000

Summary:
Energy of formation   -464 meV/atom
M_tot   0.000 μB per atom
ρ   4.310 g/cm3



7.
The following is a PBE calculation of crystalline Li2AlRh at its relaxed geometry, from Alexandria via LeMat-Bulk.

Lattice parameters (Å, degrees): 8.7464 3.0282 4.5303 90.00 110.06 90.00
Space group Cm (No. 8)
Asymmetric unit:
Li  0.0000  0.0000  0.0000
Li  0.2503  0.0000  0.8355
Al  0.4870  0.0000  0.4771
Rh  0.2486  0.5000  0.3454

Summary:
Energy of formation   -373 meV/atom
M_tot   0.000 μB per atom
ρ   4.236 g/cm3



8.
The following is a PBE calculation of crystalline LiAlRh4 at its relaxed geometry, from Alexandria via LeMat-Bulk.

Lattice parameters (Å, degrees): 7.2046 7.2046 7.2046 90.00 90.00 90.00
Space group F-43m (No. 216)
Asymmetric unit:
Li  0.0000  0.0000  0.0000
Al  0.2500  0.2500  0.2500
Rh  0.1249  0.1249  0.6249

Summary:
Energy of formation   -58 meV/atom
M_tot   0.000 μB per atom
ρ   7.913 g/cm3



9.
The following is a PBE calculation of crystalline LiAl3Rh at its relaxed geometry, from Alexandria via LeMat-Bulk.

Lattice parameters (Å, degrees): 4.7164 4.7164 4.7164 90.00 90.00 90.00
Space group Pm-3m (No. 221)
Asymmetric unit:
Li  0.0000  0.0000  0.0000
Al  0.0000  0.5000  0.5000
Rh  0.5000  0.5000  0.5000

Summary:
Energy of formation   -226 meV/atom
M_tot   0.000 μB per atom
ρ   3.020 g/cm3
Energy above the most stable polymorph in this dataset   1.745 eV per formula unit



10.
The following is a PBE calculation of crystalline Li4AlRh at its relaxed geometry, from Alexandria via LeMat-Bulk.

Lattice parameters (Å, degrees): 6.8094 6.8094 6.8094 90.00 90.00 90.00
Space group F-43m (No. 216)
Asymmetric unit:
Li  0.1235  0.1235  0.1235
Al  0.0000  0.0000  0.5000
Rh  0.2500  0.2500  0.7500

Summary:
Energy of formation   -91 meV/atom
M_tot   0.000 μB per atom
ρ   3.316 g/cm3



11.
The following is a PBE calculation of crystalline LiAl4Rh at its relaxed geometry, from Alexandria via LeMat-Bulk.

Lattice parameters (Å, degrees): 6.0504 8.8330 7.6910 90.00 112.91 90.00
Space group C2/c (No. 15)
Asymmetric unit:
Li  0.0000  0.1254  0.2500
Al  0.0944  0.1306  0.9456
Al  0.1032  0.3811  0.4454
Rh  0.0000  0.3744  0.7500

Summary:
Energy of formation   -325 meV/atom
M_tot   0.000 μB per atom
ρ   3.821 g/cm3
Energy above the most stable polymorph in this dataset   0.000 eV per formula unit



12.
The following is a PBE calculation of crystalline Li2AlRh at its relaxed geometry, from Alexandria via LeMat-Bulk.

Lattice parameters (Å, degrees): 4.2460 4.2460 5.9768 90.00 90.00 90.00
Space group I-4m2 (No. 119)
Asymmetric unit:
Li  0.0000  0.0000  0.0000
Li  0.0000  0.5000  0.2500
Al  0.0000  0.0000  0.5000
Rh  0.0000  0.5000  0.7500

Summary:
Energy of formation   -492 meV/atom
M_tot   0.000 μB per atom
ρ   4.431 g/cm3



13.
The following is a PBE calculation of crystalline LiAl4Rh3 at its relaxed geometry, from Alexandria via LeMat-Bulk.

Lattice parameters (Å, degrees): 4.2118 4.2118 12.2966 90.00 90.00 90.00
Space group I4/mmm (No. 139)
Asymmetric unit:
Li  0.0000  0.0000  0.0000
Al  0.0000  0.5000  0.1266
Rh  0.0000  0.0000  0.2513
Rh  0.0000  0.0000  0.5000

Summary:
Energy of formation   -889 meV/atom
M_tot   0.000 μB per atom
ρ   6.449 g/cm3



14.
The following is a PBE calculation of crystalline LiAl2Rh2 at its relaxed geometry, from Alexandria via LeMat-Bulk.

Lattice parameters (Å, degrees): 7.0924 7.0924 2.9054 90.00 90.00 90.00
Space group P4/mbm (No. 127)
Asymmetric unit:
Li  0.0000  0.0000  0.0000
Al  0.1390  0.3610  0.0000
Rh  0.1571  0.6571  0.5000

Summary:
Energy of formation   -797 meV/atom
M_tot   0.000 μB per atom
ρ   6.061 g/cm3
Energy above the most stable polymorph in this dataset   0.000 eV per formula unit



15.
The following is a PBE calculation of crystalline LiAl3Rh2 at its relaxed geometry, from Alexandria via LeMat-Bulk.

Lattice parameters (Å, degrees): 5.6342 5.6342 3.8054 90.00 90.00 120.00
Space group P6/mmm (No. 191)
Asymmetric unit:
Li  0.0000  0.0000  0.0000
Al  0.0000  0.5000  0.0000
Rh  0.3333  0.6667  0.5000

Summary:
Energy of formation   -408 meV/atom
M_tot   0.000 μB per atom
ρ   4.662 g/cm3



16.
The following is a PBE calculation of crystalline LiAl4Rh5 at its relaxed geometry, from Alexandria via LeMat-Bulk.

Lattice parameters (Å, degrees): 2.9941 2.9941 14.8780 90.00 90.00 90.00
Space group P4/mmm (No. 123)
Asymmetric unit:
Li  0.0000  0.0000  0.0000
Al  0.0000  0.0000  0.1906
Al  0.0000  0.0000  0.3973
Rh  0.5000  0.5000  0.0993
Rh  0.5000  0.5000  0.2994
Rh  0.5000  0.5000  0.5000

Summary:
Energy of formation   -936 meV/atom
M_tot   0.000 μB per atom
ρ   7.836 g/cm3



17.
The following is a PBE calculation of crystalline LiAl2Rh2 at its relaxed geometry, from Alexandria via LeMat-Bulk.

Lattice parameters (Å, degrees): 3.8987 3.8987 11.0851 90.00 90.00 90.00
Space group I4/mmm (No. 139)
Asymmetric unit:
Li  0.0000  0.0000  0.0000
Al  0.0000  0.5000  0.2500
Rh  0.0000  0.0000  0.3846

Summary:
Energy of formation   -470 meV/atom
M_tot   0.000 μB per atom
ρ   5.257 g/cm3
Energy above the most stable polymorph in this dataset   1.631 eV per formula unit



18.
The following is a PBE calculation of crystalline Li2AlRh at its relaxed geometry, from Alexandria via LeMat-Bulk.

Lattice parameters (Å, degrees): 3.5362 3.5362 19.1949 90.00 90.00 90.00
Space group I-42d (No. 122)
Asymmetric unit:
Li  0.2364  0.2500  0.1250
Al  0.0000  0.0000  0.5000
Rh  0.0000  0.0000  0.0000

Summary:
Energy of formation   -251 meV/atom
M_tot   0.000 μB per atom
ρ   3.978 g/cm3



19.
The following is a PBE calculation of crystalline Li2AlRh at its relaxed geometry, from Alexandria via LeMat-Bulk.

Lattice parameters (Å, degrees): 2.9082 4.5109 8.9978 90.00 90.00 90.00
Space group Cmmm (No. 65)
Asymmetric unit:
Li  0.0000  0.0000  0.2320
Al  0.0000  0.5000  0.5000
Rh  0.0000  0.5000  0.0000

Summary:
Energy of formation   -102 meV/atom
M_tot   0.052 μB per atom
ρ   4.045 g/cm3



20.
The following is a PBE calculation of crystalline Li2AlRh at its relaxed geometry, from Alexandria via LeMat-Bulk.

Lattice parameters (Å, degrees): 2.6760 2.6760 8.3027 90.00 90.00 90.00
Space group P4/mmm (No. 123)
Asymmetric unit:
Li  0.0000  0.0000  0.2296
Al  0.5000  0.5000  0.5000
Rh  0.5000  0.5000  0.0000

Summary:
Energy of formation   -65 meV/atom
M_tot   0.067 μB per atom
ρ   4.015 g/cm3